Density functional theory data (PBE-GGA) for crystalline NdEr2Sc3 at its relaxed geometry.

Values from the calculation:
E_tot   -64.9 eV per cell
DOS at the Fermi energy   19.34 states/eV/cell
SG   P2_1/m
Formation energy from the elements   1.6 kcal/mol of atoms

Cell: 3.4463 5.9561 16.6031 Å, 96.86 90.00 90.00°
With the nearest neighbours (Å) after each atom.
Fractional positions:
Nd1 0.7500 0.4721 0.1680  6 Sc 3.40-3.43, 4 Er 3.43-3.45, 2 Nd 3.45
Er1 0.7500 0.0261 0.8327  6 Sc 3.38-3.40, 4 Nd 3.43-3.45, 2 Er 3.45
Sc1 0.2500 0.2465 0.9989  3 Er 3.38-3.40, 3 Nd 3.41-3.43, 6 Sc 3.41-3.47
Er2 0.2500 0.9739 0.1673  6 Sc 3.38-3.40, 4 Nd 3.43-3.45, 2 Er 3.45
Sc2 0.7500 0.6392 0.6643  4 Er 3.36-3.40, 2 Nd 3.41, 6 Sc 3.43-3.45
Nd2 0.2500 0.5279 0.8320  6 Sc 3.40-3.43, 4 Er 3.43-3.45, 2 Nd 3.45
Er3 0.2500 0.7502 0.5000  6 Sc 3.36-3.38, 6 Er 3.44-3.45
Sc3 0.2500 0.3608 0.3357  4 Er 3.36-3.40, 2 Nd 3.41, 6 Sc 3.43-3.45
Sc4 0.2500 0.1369 0.6654  5 Er 3.37-3.40, 1 Nd 3.40, 6 Sc 3.43-3.45
Sc5 0.7500 0.8631 0.3346  5 Er 3.37-3.40, 1 Nd 3.40, 6 Sc 3.43-3.45
Sc6 0.7500 0.7535 0.0011  3 Er 3.38-3.40, 3 Nd 3.41-3.43, 6 Sc 3.41-3.47
Er4 0.7500 0.2498 0.5000  6 Sc 3.36-3.38, 6 Er 3.44-3.45

---

Density functional theory data (PBE-GGA) for crystalline Nd12Er7Sc at its relaxed geometry.

Values from the calculation:
E_tot   -91.5 eV per cell
DOS at the Fermi energy   29.18 states/eV/cell
SG   R-3m
Relative energy among the computed polymorphs   48 meV/atom
Formation energy from the elements   4.6 kcal/mol of atoms

Cell: 6.1911 11.4947 11.4947 Å, 116.85 100.34 100.34°
With the nearest neighbours (Å) after each atom.
Fractional positions:
Nd1 0.5800 0.6486 0.0004  4 Er 3.33-3.58, 1 Nd 3.38
Er1 0.1189 0.9997 0.7601  1 Sc 2.98, 1 Er 3.29, 1 Nd 3.33
Nd2 0.4997 0.4128 0.5870  5 Nd 3.40-3.77, 2 Er 3.41
Nd3 0.0686 0.6482 0.6486  4 Er 3.33-3.58, 1 Nd 3.38
Er2 0.1191 0.7604 0.0003  1 Sc 2.98, 1 Er 3.29, 1 Nd 3.33
Nd4 0.9126 0.4130 0.8258  5 Nd 3.40-3.77, 2 Er 3.41
Sc1 0.0000 0.0000 0.0000  8 Er 2.98-3.10
Nd5 0.5003 0.5872 0.4130  5 Nd 3.40-3.77, 2 Er 3.41
Er3 0.8809 0.2396 0.9997  1 Sc 2.98, 1 Er 3.29, 1 Nd 3.33
Er4 0.3587 0.2399 0.2396  1 Sc 2.98, 1 Er 3.29, 1 Nd 3.33
Er5 0.6413 0.7601 0.7604  1 Sc 2.98, 1 Er 3.29, 1 Nd 3.33
Er6 0.8811 0.0003 0.2399  1 Sc 2.98, 1 Er 3.29, 1 Nd 3.33
Nd6 0.4200 0.3514 0.9996  4 Er 3.33-3.58, 1 Nd 3.38
Er7 0.5000 0.0000 0.0000  2 Sc 3.10, 6 Er 3.29
Nd7 0.9131 0.8258 0.4128  5 Nd 3.40-3.77, 2 Er 3.41
Nd8 0.0874 0.5870 0.1742  5 Nd 3.40-3.77, 2 Er 3.41
Nd9 0.4204 0.0004 0.3518  4 Er 3.33-3.58, 1 Nd 3.38
Nd10 0.5796 0.9996 0.6482  4 Er 3.33-3.58, 1 Nd 3.38
Nd11 0.0869 0.1742 0.5872  5 Nd 3.40-3.77, 2 Er 3.41
Nd12 0.9314 0.3518 0.3514  4 Er 3.33-3.58, 1 Nd 3.38

---

Density functional theory data (PBE-GGA) for crystalline Nd4ErSc2 at its relaxed geometry.

Values from the calculation:
E_tot   -70.4 eV per cell
DOS at the Fermi energy   24.19 states/eV/cell
SG   P2_1/m
Relative energy among the computed polymorphs   0 meV/atom
Formation energy from the elements   3.6 kcal/mol of atoms

Cell: 5.5622 6.8849 11.9201 Å, 90.00 103.51 90.00°
With the nearest neighbours (Å) after each atom.
Fractional positions:
Sc1 0.4999 0.2500 0.9957  2 Nd 3.21, 2 Er 3.28, 2 Sc 3.44
Sc2 0.2072 0.2500 0.4162  9 Nd 3.26-3.59
Nd1 0.2191 0.7500 0.4362  4 Sc 3.26-3.45, 1 Er 3.27, 2 Nd 3.62
Sc3 0.5001 0.7500 0.0043  2 Nd 3.21, 2 Er 3.28, 2 Sc 3.44
Nd2 0.6440 0.0030 0.2877  7 Nd 3.40-3.72, 4 Sc 3.58-3.79, 2 Er 3.62-3.63
Nd3 0.7809 0.2500 0.5638  4 Sc 3.26-3.45, 1 Er 3.27, 2 Nd 3.62
Nd4 0.6440 0.4970 0.2877  7 Nd 3.40-3.72, 4 Sc 3.58-3.79, 2 Er 3.62-3.63
Er1 0.0760 0.7500 0.1542  8 Nd 3.27-3.63, 2 Sc 3.28
Er2 0.9240 0.2500 0.8458  8 Nd 3.27-3.63, 2 Sc 3.28
Nd5 0.3560 0.5030 0.7123  7 Nd 3.40-3.72, 4 Sc 3.58-3.79, 2 Er 3.62-3.63
Nd6 0.0693 0.2500 0.1346  3 Sc 3.21-3.26, 3 Er 3.35-3.45
Sc4 0.7928 0.7500 0.5838  9 Nd 3.26-3.59
Nd7 0.3560 0.9970 0.7123  7 Nd 3.40-3.72, 4 Sc 3.58-3.79, 2 Er 3.62-3.63
Nd8 0.9307 0.7500 0.8654  3 Sc 3.21-3.26, 3 Er 3.35-3.45

---

Density functional theory data (PBE-GGA) for crystalline Nd2Er2Sc at its relaxed geometry.

Values from the calculation:
E_tot   -48.0 eV per cell
DOS at the Fermi energy   15.52 states/eV/cell
SG   Imma
Relative energy among the computed polymorphs   0 meV/atom
Formation energy from the elements   4.5 kcal/mol of atoms

Cell: 5.6294 3.5006 16.3057 Å, 96.16 99.94 90.00°
With the nearest neighbours (Å) after each atom.
Fractional positions:
Er1 0.7304 0.9804 0.4607  3 Er 3.05-3.08
Sc1 0.8228 0.5728 0.6457  10 Er 3.43-3.72, 2 Sc 3.50
Sc2 0.1772 0.4272 0.3543  10 Er 3.43-3.72, 2 Sc 3.50
Er2 0.3652 0.1152 0.7304  1 Er 3.05, 2 Nd 3.38
Nd1 0.5442 0.2942 0.0883  8 Nd 3.32-3.50, 2 Er 3.38
Nd2 0.4558 0.7058 0.9117  8 Nd 3.32-3.50, 2 Er 3.38
Nd3 0.9350 0.1850 0.8701  6 Nd 3.38-3.50, 2 Er 3.59
Nd4 0.0650 0.8150 0.1299  6 Nd 3.38-3.50, 2 Er 3.59
Er3 0.2696 0.0196 0.5393  3 Er 3.05-3.08
Er4 0.6348 0.8848 0.2696  1 Er 3.05, 2 Nd 3.38